A plane-wave DFT calculation with PBE was carried out for crystalline ScTi2Pb at its relaxed geometry. Values from VASP.

Results
The electronic total energy comes out at -6.51 eV/atom. As for the space group: P4/mmm. The density of states at the Fermi level is 1.627 states/eV per atom. As for the calculated volume: 20.09 Å³/atom. The calculation puts the formation energy at -1.11 kcal/mol of atoms.

The structure in Quantum ESPRESSO input format:
```
&SYSTEM
  ibrav = 0, nat = 4, ntyp = 3
/
ATOMIC_SPECIES
Sc 44.96 Sc.upf
Ti 47.87 Ti.upf
Pb 207.20 Pb.upf
CELL_PARAMETERS angstrom
4.291 0.000 0.000
0.000 4.291 0.000
0.000 0.000 4.365
ATOMIC_POSITIONS angstrom
Sc 0.000 0.000 0.000
Ti 0.000 2.146 2.182
Ti 2.146 0.000 2.182
Pb 2.146 2.146 0.000
```